(1)
An optimized crystal structure of NbTlRh3. Source: the Alexandria database, functional PBE-GGA.

Cell lengths 4.781, 4.781, 4.781 Å; angles 90.00, 90.00, 90.00 degrees
Space group Pm-3m (No. 221)
Asymmetric unit:
Nb (0.000, 0.000, 0.000) [1 per cell]
Tl (0.500, 0.500, 0.500) [1 per cell]
Rh (0.000, 0.000, 0.500) [3 per cell]

Output
- ΔH_f (0 K) (kJ/mol of atoms) = 74.93
- total magnetization (μB per atom) = 0.00
- polymorph energy (0 for the lowest one) (meV per atom) = 0



(2)
An optimized crystal structure of GeRuS2Br. Source: the Alexandria database, functional PBE-GGA.

Cell lengths 4.596, 4.596, 5.198 Å; angles 90.00, 90.00, 90.00 degrees
Space group P4/mmm (No. 123)
Asymmetric unit:
Ge (0.000, 0.000, 0.000) [1 per cell]
Ru (0.500, 0.500, 0.500) [1 per cell]
S (0.000, 0.500, 0.500) [2 per cell]
Br (0.500, 0.500, 0.000) [1 per cell]

Output
- uncorrected formation energy (eV/atom) = 0.360
- total magnetization (μB per atom) = 0.00



(3)
An optimized crystal structure of Ba5Sr2Ca3. Source: the Alexandria database, functional PBE-GGA.

Cell lengths 7.623, 43.178, 7.629 Å; angles 90.00, 114.16, 90.00 degrees
Space group C2/c (No. 15)
Asymmetric unit:
Ba (0.000, 0.017, 0.250) [4 per cell]
Ba (0.000, 0.250, 0.750) [4 per cell]
Ba (0.000, 0.483, 0.250) [4 per cell]
Ba (0.189, 0.165, 0.062) [8 per cell]
Sr (0.240, 0.395, 0.490) [8 per cell]
Ca (0.000, 0.303, 0.250) [4 per cell]
Ca (0.248, 0.071, 0.002) [8 per cell]

Output
- ΔH_f (0 K) (kJ/mol of atoms) = 11.39
- total magnetization (μB per atom) = 0.00



What did the first record say?
An optimized crystal structure of NbTlRh3. Source: the Alexandria database, functional PBE-GGA.

Cell lengths 4.781, 4.781, 4.781 Å; angles 90.00, 90.00, 90.00 degrees
Space group Pm-3m (No. 221)
Asymmetric unit:
Nb (0.000, 0.000, 0.000) [1 per cell]
Tl (0.500, 0.500, 0.500) [1 per cell]
Rh (0.000, 0.000, 0.500) [3 per cell]

Output
- ΔH_f (0 K) (kJ/mol of atoms) = 74.93
- total magnetization (μB per atom) = 0.00
- polymorph energy (0 for the lowest one) (meV per atom) = 0